{
  "formula": "Dy4ThIn2",
  "functional": "PBE",
  "state": "relaxed",
  "cell": [[5.143, 0.000, 0.000], [2.572, 4.454, 0.000], [2.572, 1.485, 10.226]],
  "species": ["In", "Th", "In", "Dy", "Dy", "Dy", "Dy"],
  "frac_coords": [[0.398, 0.398, 0.806], [0.500, 0.500, 0.500], [0.602, 0.602, 0.194], [0.293, 0.293, 0.120], [0.113, 0.113, 0.661], [0.887, 0.887, 0.339], [0.707, 0.707, 0.880]],
  "m_tot_mub_per_fu": 0.00,
  "vol_a3_per_cell": 234.2,
  "de_polymorph_ev_per_atom": 0.232,
  "e_form_ev_per_atom": 0.1112,
  "space_group": "R-3m"
}


{
  "formula": "Dy2ThIn",
  "functional": "PBE",
  "state": "relaxed",
  "cell": [[3.579, 0.000, 0.000], [0.000, 3.579, 0.000], [0.000, 0.000, 9.060]],
  "species": ["Dy", "Dy", "In", "Th"],
  "frac_coords": [[0.000, 0.000, 0.768], [0.000, 0.000, 0.232], [0.500, 0.500, 0.000], [0.500, 0.500, 0.500]],
  "m_tot_mub_per_fu": 0.00,
  "vol_a3_per_cell": 116.1,
  "de_polymorph_ev_per_atom": 0.000,
  "e_form_ev_per_atom": -0.2459,
  "space_group": "P4/mmm"
}